(1)
DFT (PBE) results for a relaxed TlAsS2Cl crystal.

Lattice parameters (Å, degrees): 5.195 5.195 5.125 90.00 90.00 90.00
Each line ends with the local moment (μB).
Sites, in units of the cell vectors:
S 0.000 0.500 0.000  -0.22
S 0.500 0.000 0.000  -0.22
Tl 0.000 0.000 0.000  0.00
As 0.500 0.500 0.500  0.72
Cl 0.000 0.000 0.500  0.03

**E above lowest polymorph**: 0.8260 eV per atom
**Density of states at the Fermi level**: 2.441 states/eV/f.u.

---

(2)
DFT (PBE) results for a relaxed LaDy2Ag2 crystal.

Lattice parameters (Å, degrees): 6.502 6.296 8.446 68.94 61.59 68.90
Sites, in units of the cell vectors:
La 0.798 0.831 0.285
La 0.202 0.169 0.715
Dy 0.712 0.424 0.152
Dy 0.799 0.789 0.712
Dy 0.201 0.211 0.288
Dy 0.288 0.576 0.848
Ag 0.340 0.849 0.068
Ag 0.702 0.326 0.552
Ag 0.659 0.151 0.932
Ag 0.298 0.674 0.448

**Energy of formation**: -107.8 meV per atom
**E above lowest polymorph**: 0.1061 eV per atom
**Density of states at the Fermi level**: 5.369 states/eV/f.u.

---

(3)
DFT (PBE) results for a relaxed CdBi2TeC crystal.

Lattice parameters (Å, degrees): 5.718 5.523 5.718 90.00 90.00 90.00
Each line ends with the local moment (μB).
Sites, in units of the cell vectors:
C 0.500 0.500 0.500  0.93
Te 0.000 0.500 0.000  0.11
Bi 0.000 0.000 0.500  -0.13
Bi 0.500 0.000 0.000  -0.13
Cd 0.000 0.000 0.000  0.01

**Final energy**: -11.4 eV/cell
**Density of states at the Fermi level**: 6.781 states/eV/f.u.